Sc2Zn3Au after structural relaxation, computed with GGA-PBE.

Output
DFT formation energy in eV per atom: -0.334

```
Sc2Zn3Au
1.0
4.071 0.000 -1.084
-0.242 3.198 -0.909
0.098 0.702 8.557
Sc Zn Au
2 3 1
direct
0.131 0.131 0.263
0.869 0.369 0.737
0.711 0.711 0.423
0.285 0.785 0.570
0.561 0.561 0.122
0.443 0.943 0.886
```

ScZn2Au after structural relaxation, computed with GGA-PBE.

Output
DFT formation energy in eV per atom: -0.356

```
ScZn2Au
1.0
4.422 0.000 0.000
0.000 3.115 -0.127
0.000 0.258 5.341
Zn Au Sc
2 1 1
direct
0.000 0.245 0.009
0.500 0.252 0.236
0.000 0.253 0.516
0.500 0.750 0.739
```

Sc4ZnAu3 after structural relaxation, computed with GGA-PBE.

Output
DFT formation energy in eV per atom: -0.701

```
Sc4ZnAu3
1.0
4.595 0.000 1.356
2.097 4.088 1.356
0.033 0.020 8.349
Sc Au Zn
4 3 1
direct
0.624 0.624 0.129
0.875 0.875 0.376
0.376 0.376 0.871
0.125 0.125 0.624
0.257 0.257 0.229
0.500 0.500 0.500
0.743 0.743 0.771
0.000 0.000 0.000
```

ScZnAu after structural relaxation, computed with GGA-PBE.

Output
DFT formation energy in eV per atom: -0.293

```
ScZnAu
1.0
3.400 0.000 0.000
-1.700 2.945 0.000
0.000 0.000 6.012
Au Zn Sc
1 1 1
direct
0.000 0.000 0.992
0.333 0.667 0.679
0.667 0.333 0.329
```

Sc2ZnAu4 after structural relaxation, computed with GGA-PBE.

Output
DFT formation energy in eV per atom: -0.602

```
Sc2ZnAu4
1.0
4.424 -0.165 1.828
1.849 4.023 1.828
0.824 0.507 7.830
Au Zn Sc
4 1 2
direct
0.565 0.565 0.206
0.435 0.435 0.794
0.796 0.796 0.389
0.204 0.204 0.611
0.000 0.000 0.000
0.216 0.216 0.225
0.784 0.784 0.775
```

ScZn2Au after structural relaxation, computed with GGA-PBE.

Output
DFT formation energy in eV per atom: -0.155

```
ScZn2Au
1.0
7.529 0.000 0.000
0.000 7.529 0.000
3.764 3.764 2.744
Sc Au Zn
2 2 4
direct
0.500 0.500 0.000
0.250 0.750 0.500
0.750 0.250 0.500
0.000 0.000 0.000
0.875 0.901 0.750
0.099 0.625 0.250
0.651 0.125 0.250
0.375 0.349 0.750
```

Sc3Zn2Au2 after structural relaxation, computed with GGA-PBE.

Output
DFT formation energy in eV per atom: -0.523

```
Sc3Zn2Au2
1.0
3.979 0.000 0.528
0.000 3.323 0.000
0.693 0.000 10.032
Sc Au Zn
3 2 2
direct
0.842 0.000 0.316
0.000 0.000 0.000
0.158 0.000 0.684
0.578 0.500 0.845
0.422 0.500 0.155
0.716 0.500 0.569
0.284 0.500 0.431
```

Sc3Zn2Au after structural relaxation, computed with GGA-PBE.

Output
DFT formation energy in eV per atom: -0.524

```
Sc3Zn2Au
1.0
-0.268 3.387 0.106
-1.716 -0.227 2.925
8.521 0.517 5.040
Zn Sc Au
2 3 1
direct
0.500 0.500 0.162
0.500 0.500 0.838
0.000 0.000 0.000
0.000 0.000 0.670
0.000 0.000 0.330
0.500 0.500 0.500
```

Sc2Zn3Au2 after structural relaxation, computed with GGA-PBE.

Output
DFT formation energy in eV per atom: -0.437

```
Sc2Zn3Au2
1.0
-1.560 -2.817 -1.256
5.997 -4.168 1.899
-3.211 -0.315 9.446
Au Zn Sc
4 6 4
direct
0.672 0.551 0.344
0.328 0.449 0.656
0.672 0.949 0.344
0.328 0.051 0.656
0.550 0.088 0.099
0.761 0.250 0.521
0.450 0.588 0.901
0.450 0.912 0.901
0.550 0.412 0.099
0.239 0.750 0.479
0.933 0.250 0.865
0.067 0.750 0.135
0.149 0.250 0.297
0.851 0.750 0.703
```

ScZn2Au after structural relaxation, computed with GGA-PBE.

Output
DFT formation energy in eV per atom: -0.350

```
ScZn2Au
1.0
-2.905 -3.180 2.064
-0.521 -4.747 -0.047
2.296 -1.670 3.834
Sc Zn Au
1 2 1
direct
0.250 0.250 0.250
0.009 0.009 0.969
0.491 0.491 0.531
0.750 0.750 0.750
```

Sc2Zn12Au7 after structural relaxation, computed with GGA-PBE.

Output
DFT formation energy in eV per atom: -0.298

```
Sc2Zn12Au7
1.0
-0.880 -3.108 0.230
10.875 -3.115 -0.487
-4.841 2.112 10.015
Au Zn Sc
7 12 2
direct
0.753 0.572 0.856
0.753 0.144 0.716
0.753 0.284 0.428
0.500 0.000 0.000
0.247 0.716 0.572
0.247 0.856 0.284
0.247 0.428 0.144
0.750 0.386 0.932
0.761 0.827 0.077
0.761 0.923 0.750
0.239 0.077 0.250
0.750 0.068 0.454
0.250 0.614 0.068
0.239 0.173 0.923
0.239 0.750 0.827
0.761 0.250 0.173
0.750 0.546 0.614
0.250 0.932 0.546
0.250 0.454 0.386
0.753 0.667 0.333
0.247 0.333 0.667
```

Sc5ZnAu after structural relaxation, computed with GGA-PBE.

Output
DFT formation energy in eV per atom: -0.188

```
Sc5ZnAu
1.0
5.664 -0.999 -0.888
0.850 5.688 -0.888
1.480 1.065 9.147
Sc Zn Au
10 2 2
direct
0.437 0.242 0.997
0.563 0.758 0.003
0.617 0.040 0.670
0.758 0.563 0.503
0.040 0.617 0.170
0.844 0.156 0.250
0.156 0.844 0.750
0.242 0.437 0.497
0.383 0.960 0.330
0.960 0.383 0.830
0.506 0.494 0.250
0.494 0.506 0.750
0.000 0.000 0.500
0.000 0.000 0.000
```

> Which of these has the highest DFT formation energy?

number 6

What did the ninth record say?
Sc2Zn3Au2 after structural relaxation, computed with GGA-PBE.

Output
DFT formation energy in eV per atom: -0.437

```
Sc2Zn3Au2
1.0
-1.560 -2.817 -1.256
5.997 -4.168 1.899
-3.211 -0.315 9.446
Au Zn Sc
4 6 4
direct
0.672 0.551 0.344
0.328 0.449 0.656
0.672 0.949 0.344
0.328 0.051 0.656
0.550 0.088 0.099
0.761 0.250 0.521
0.450 0.588 0.901
0.450 0.912 0.901
0.550 0.412 0.099
0.239 0.750 0.479
0.933 0.250 0.865
0.067 0.750 0.135
0.149 0.250 0.297
0.851 0.750 0.703
```